DFT (GGA-PBE) results for PuHgS2O8 after structural relaxation.

Structure (POSCAR):
```
PuHgS2O8
1.0
-0.216 5.267 -2.031
-3.788 -3.836 -1.689
-5.225 2.295 6.505
O Hg S Pu
8 1 2 1
Cartesian
-3.277 2.221 -1.748
-7.669 2.119 2.938
-1.652 3.867 -1.024
-5.952 1.505 4.533
-7.576 -0.140 3.809
-1.560 1.608 -0.153
-5.859 0.631 2.258
-3.370 3.095 0.527
-2.612 1.148 3.253
-6.724 1.011 3.336
-2.504 2.715 -0.551
0.000 0.000 0.000
```

## Properties
Uncorrected formation energy: -1.59 eV/atom
ρ: 4420 kg/m³
Spin magnetization: 3.95 μB/cell
Fermi-level density of states: 0.89 states/eV per atom
Space group: P-3m1 (164)


DFT (GGA-PBE) results for PuHgSbO after structural relaxation.

Structure (POSCAR):
```
PuHgSbO
1.0
-1.010 0.902 2.882
-0.619 -3.036 0.733
10.272 0.019 1.837
Sb Pu O Hg
1 1 1 1
Cartesian
-0.087 -1.148 2.088
6.876 -1.920 4.770
7.054 -0.782 2.718
3.671 -0.407 1.415
```

## Properties
Uncorrected formation energy: -1.13 eV/atom
ρ: 9361 kg/m³
Spin magnetization: 5.16 μB/cell
Fermi-level density of states: 1.87 states/eV per atom
Space group: I4mm (107)


DFT (GGA-PBE) results for PuHgSbO6 after structural relaxation.

Structure (POSCAR):
```
PuHgSbO6
1.0
5.596 0.000 0.000
-2.798 4.846 0.000
0.000 0.000 9.763
Hg Pu O Sb
2 2 12 2
Cartesian
0.000 0.000 4.882
0.000 0.000 0.000
2.798 1.615 2.441
0.000 3.231 7.322
3.559 0.081 8.415
3.746 3.042 8.415
-1.709 3.123 3.533
1.088 1.723 8.415
0.948 1.804 3.533
1.709 3.123 1.349
-0.948 1.804 1.349
0.761 4.765 3.533
4.507 1.723 6.230
2.037 0.081 6.230
1.849 3.042 6.230
-0.761 4.765 1.349
2.798 1.615 7.322
0.000 3.231 2.441
```

## Properties
Uncorrected formation energy: -1.55 eV/atom
ρ: 8309 kg/m³
Spin magnetization: 6.00 μB/cell
Fermi-level density of states: 0.79 states/eV per atom
Space group: P-31c (163)


DFT (GGA-PBE) results for PuScHg2O6 after structural relaxation.

Structure (POSCAR):
```
PuScHg2O6
1.0
-4.374 -3.160 1.845
-0.317 -5.521 -1.395
1.003 -4.070 4.221
Hg O Sc Pu
2 6 1 1
Cartesian
-2.327 -6.155 1.571
0.465 -3.824 3.369
-2.168 -5.750 4.516
-2.218 -3.973 2.091
-0.748 -7.077 0.268
0.358 -6.005 2.850
-4.067 -7.389 2.271
-1.430 -8.423 3.279
-3.276 -9.330 2.696
-1.432 -2.954 0.360
```

## Properties
Uncorrected formation energy: -1.90 eV/atom
ρ: 9354 kg/m³
Spin magnetization: 3.00 μB/cell
Fermi-level density of states: 0.90 states/eV per atom
Space group: R-3 (148)


DFT (GGA-PBE) results for PuScHgO6 after structural relaxation.

Structure (POSCAR):
```
PuScHgO6
1.0
5.551 0.000 0.000
-2.776 4.807 0.000
0.000 0.000 9.676
O Pu Sc Hg
12 2 2 2
Cartesian
4.483 1.707 1.352
-1.708 3.100 8.324
1.068 1.707 3.486
0.763 4.736 8.324
-0.763 4.736 6.190
3.539 0.071 3.486
0.944 1.778 8.324
1.708 3.100 6.190
-0.944 1.778 6.190
2.012 0.071 1.352
3.720 3.029 3.486
1.831 3.029 1.352
0.000 3.205 7.257
2.776 1.602 2.419
2.776 1.602 7.257
0.000 3.205 2.419
0.000 0.000 4.838
0.000 0.000 0.000
```

## Properties
Uncorrected formation energy: -2.12 eV/atom
ρ: 7531 kg/m³
Spin magnetization: 2.00 μB/cell
Fermi-level density of states: 0.17 states/eV per atom
Space group: P-31c (163)


DFT (GGA-PBE) results for PuHgSeO6 after structural relaxation.

Structure (POSCAR):
```
PuHgSeO6
1.0
5.511 0.000 0.000
-2.756 4.773 0.000
0.000 0.000 9.819
O Pu Se Hg
12 2 2 2
Cartesian
1.722 3.054 1.377
4.477 1.719 6.286
1.034 1.719 8.442
0.750 4.737 3.533
-1.722 3.054 3.533
3.727 3.018 8.442
2.005 0.036 6.286
-0.750 4.737 1.377
3.506 0.036 8.442
0.972 1.755 3.533
1.784 3.018 6.286
-0.972 1.755 1.377
2.756 1.591 2.455
0.000 3.182 7.364
2.756 1.591 7.364
0.000 3.182 2.455
0.000 0.000 4.910
0.000 0.000 0.000
```

## Properties
Uncorrected formation energy: -1.24 eV/atom
ρ: 7967 kg/m³
Spin magnetization: 4.00 μB/cell
Fermi-level density of states: 0.69 states/eV per atom
Space group: P-31c (163)


DFT (GGA-PBE) results for PuSi2HgO8 after structural relaxation.

Structure (POSCAR):
```
PuSi2HgO8
1.0
-3.916 -0.553 -3.568
-3.926 -3.346 1.328
-2.551 6.836 3.895
O Hg Si Pu
8 1 2 1
Cartesian
-3.266 3.226 1.834
-5.408 4.643 1.105
-7.127 -0.289 -0.179
-4.981 -0.385 -1.763
-6.461 -2.603 -1.497
-4.985 -1.705 0.551
-3.932 5.540 3.153
-5.412 3.322 3.419
-1.276 3.418 1.948
-4.460 4.172 2.371
-5.933 -1.234 -0.716
0.000 0.000 0.000
```

## Properties
Uncorrected formation energy: -2.16 eV/atom
ρ: 5063 kg/m³
Spin magnetization: 2.00 μB/cell
Fermi-level density of states: 0.48 states/eV per atom
Space group: C2/m (12)


DFT (GGA-PBE) results for PuSiHgO6 after structural relaxation.

Structure (POSCAR):
```
PuSiHgO6
1.0
-5.135 0.849 -0.384
-2.466 -0.916 -4.508
-0.878 -4.664 1.429
O Si Pu Hg
6 1 1 1
Cartesian
-2.325 -3.824 -1.766
-3.564 -1.633 -2.476
-1.314 -1.657 -1.172
-4.628 -3.095 -0.803
-3.496 -0.883 0.014
-2.509 -3.033 0.705
-2.973 -2.354 -0.916
-5.507 -2.377 -2.547
-6.013 -3.815 1.044
```

## Properties
Uncorrected formation energy: -1.87 eV/atom
ρ: 8077 kg/m³
Spin magnetization: 2.00 μB/cell
Fermi-level density of states: 0.67 states/eV per atom
Space group: P312 (149)


DFT (GGA-PBE) results for SmPuHg2O6 after structural relaxation.

Structure (POSCAR):
```
SmPuHg2O6
1.0
-2.908 4.768 -1.830
-3.730 -0.390 -4.525
-6.081 0.360 1.165
O Sm Pu Hg
6 1 1 2
Cartesian
-5.939 0.684 -4.353
-7.192 3.480 -0.670
-8.696 2.091 -2.907
-6.621 4.454 -3.895
-4.132 2.648 -1.566
-6.773 0.518 -1.169
-8.772 3.772 -4.545
-2.412 1.403 -1.949
-5.604 2.584 -3.237
-5.301 0.582 0.503
```

## Properties
Uncorrected formation energy: -1.89 eV/atom
ρ: 9532 kg/m³
Spin magnetization: 3.00 μB/cell
Fermi-level density of states: 0.88 states/eV per atom
Space group: R-3 (148)


DFT (GGA-PBE) results for Sm2PuHgO8 after structural relaxation.

Structure (POSCAR):
```
Sm2PuHgO8
1.0
-3.205 -0.386 3.180
1.179 -5.084 0.051
5.120 0.969 5.715
Hg Pu Sm O
1 1 2 8
Cartesian
2.560 0.485 2.858
0.000 0.000 0.000
0.189 -2.638 3.234
2.905 -1.862 5.712
-0.752 -1.347 1.241
1.816 -1.137 3.835
1.580 -0.908 7.539
1.278 -3.363 5.111
-1.464 -1.033 3.748
4.558 -3.467 5.199
1.514 -3.592 1.407
3.846 -3.153 7.705
```

## Properties
Uncorrected formation energy: -2.30 eV/atom
ρ: 7960 kg/m³
Spin magnetization: 0.04 μB/cell
Fermi-level density of states: 0.18 states/eV per atom
Space group: P-1 (2)


DFT (GGA-PBE) results for SrPuHgO6 after structural relaxation.

Structure (POSCAR):
```
SrPuHgO6
1.0
-4.999 1.576 2.297
2.940 -4.359 2.261
5.102 6.786 6.448
Pu O Hg Sr
2 12 2 2
Cartesian
-1.077 1.294 3.897
4.120 2.709 7.109
-1.088 1.233 5.887
-1.033 1.331 1.906
4.075 2.673 9.100
2.153 2.401 7.072
6.091 2.986 7.175
3.858 4.683 7.156
-0.816 -0.679 3.850
0.890 1.602 3.934
-1.369 3.263 3.973
4.130 2.771 5.118
4.412 0.740 7.032
-3.048 1.017 3.830
1.474 4.687 7.121
1.569 -0.684 3.885
0.000 0.000 0.000
2.551 3.393 3.224
```

## Properties
Uncorrected formation energy: -1.79 eV/atom
ρ: 6900 kg/m³
Spin magnetization: 0.28 μB/cell
Fermi-level density of states: 0.90 states/eV per atom
Space group: P-31c (163)


DFT (GGA-PBE) results for SrPuHg2O6 after structural relaxation.

Structure (POSCAR):
```
SrPuHg2O6
1.0
-1.717 -4.182 3.921
1.197 -5.767 -1.059
4.333 -2.838 3.438
Pu Hg O Sr
1 2 6 1
Cartesian
0.059 -3.292 1.082
3.346 -2.943 2.894
1.104 -6.479 2.708
3.637 -7.888 3.688
2.507 -5.735 5.323
2.010 -7.301 0.855
3.837 -5.105 2.788
0.226 -7.870 4.199
0.612 -4.317 2.814
1.965 -9.686 4.232
```

## Properties
Uncorrected formation energy: -1.69 eV/atom
ρ: 8587 kg/m³
Spin magnetization: 2.00 μB/cell
Fermi-level density of states: 0.58 states/eV per atom
Space group: R-3 (148)